# 1
{
  "formula": "Li2SmUS4",
  "functional": "PBE-GGA",
  "state": "optimized geometry",
  "lattice_angstrom": [[6.6247, 0.0000, 0.0000], [0.0000, 3.9372, 0.0000], [-2.3428, 0.0000, 6.4199]],
  "species": ["Li", "Li", "Sm", "U", "S", "S", "S", "S"],
  "fractional_positions": [[0.0000, 0.0000, 0.0000], [0.0000, 0.5000, 0.5000], [0.5000, 0.0000, 0.5000], [0.5000, 0.5000, 0.0000], [0.2430, 0.5000, 0.2416], [0.2446, 0.0000, 0.7535], [0.7554, 0.0000, 0.2465], [0.7570, 0.5000, 0.7584]],
  "volume_a3_per_cell": 167.4,
  "total_magnetization_mub_per_fu": 2.977,
  "e_form_raw_ev_per_atom": -1.56
}


# 2
{
  "formula": "LiSmU2S5",
  "functional": "PBE-GGA",
  "state": "optimized geometry",
  "lattice_angstrom": [[7.0387, 0.0000, 0.0000], [0.0000, 7.0387, 0.0000], [0.0000, 0.0000, 7.6253]],
  "species": ["Li", "Li", "Sm", "Sm", "U", "U", "U", "U", "S", "S", "S", "S", "S", "S", "S", "S", "S", "S"],
  "fractional_positions": [[0.0000, 0.0000, 0.0000], [0.5000, 0.5000, 0.0000], [0.0000, 0.5000, 0.0000], [0.5000, 0.0000, 0.0000], [0.1232, 0.3768, 0.5000], [0.3768, 0.8768, 0.5000], [0.6232, 0.1232, 0.5000], [0.8768, 0.6232, 0.5000], [0.0000, 0.0000, 0.5000], [0.1929, 0.6929, 0.2382], [0.1929, 0.6929, 0.7618], [0.3071, 0.1929, 0.2382], [0.3071, 0.1929, 0.7618], [0.5000, 0.5000, 0.5000], [0.6929, 0.8071, 0.2382], [0.6929, 0.8071, 0.7618], [0.8071, 0.3071, 0.2382], [0.8071, 0.3071, 0.7618]],
  "volume_a3_per_cell": 377.8,
  "total_magnetization_mub_per_fu": 0.000,
  "e_form_raw_ev_per_atom": -1.23
}